[1]
DFT (PBE) results for an optimized crystal structure of BaCr.

a = 9.036 Å, b = 9.036 Å, c = 9.036 Å
α = 92.98°, β = 92.98°, γ = 153.65°
Sites, in units of the cell vectors:
Ba  0.000  0.249  0.249
Ba  0.000  0.751  0.751
Ba  0.249  0.000  0.249
Ba  0.751  0.000  0.751
Cr  0.266  0.266  0.533
Cr  0.266  0.734  0.000
Cr  0.734  0.266  0.000
Cr  0.734  0.734  0.467

Properties
Its space group is I4/mmm.



[2]
DFT (PBE) results for an optimized crystal structure of BaCr.

a = 6.083 Å, b = 6.083 Å, c = 7.713 Å
α = 90.00°, β = 90.00°, γ = 115.84°
Sites, in units of the cell vectors:
Ba  0.108  0.892  0.750
Ba  0.252  0.748  0.250
Ba  0.748  0.252  0.750
Ba  0.892  0.108  0.250
Cr  0.441  0.559  0.587
Cr  0.441  0.559  0.913
Cr  0.559  0.441  0.087
Cr  0.559  0.441  0.413

Properties
Its space group is Cmcm.



[3]
DFT (PBE) results for an optimized crystal structure of Ba2Cr.

a = 7.488 Å, b = 7.488 Å, c = 9.909 Å
α = 123.03°, β = 123.03°, γ = 37.96°
Sites, in units of the cell vectors:
Ba  0.085  0.085  0.369
Ba  0.324  0.324  0.919
Ba  0.676  0.676  0.081
Ba  0.915  0.915  0.631
Cr  0.383  0.383  0.338
Cr  0.617  0.617  0.662

Properties
The polymorph energy (0 for the lowest one) is 0.0000 eV/atom. Its space group is C2/m.



[4]
DFT (PBE) results for an optimized crystal structure of BaCr.

a = 6.670 Å, b = 6.670 Å, c = 6.670 Å
α = 135.79°, β = 135.79°, γ = 64.30°
Sites, in units of the cell vectors:
Ba  0.375  0.625  0.750
Ba  0.625  0.375  0.250
Cr  0.125  0.875  0.250
Cr  0.875  0.125  0.750

Properties
Its space group is I4_1/amd.



no.,energy of formation from the pure elements (eV/atom)
1,1.003
2,0.889
3,0.533
4,0.942